Entry 1:
! POsBr2 | Alexandria via LeMat-Bulk | GGA-PBE | relaxed; values from VASP
! M_tot (μB per formula unit): 0.00
! Space-group type: R-3m
! D(E_F) (states/eV/f.u.): 2.3
! ρ (g/cm3): 6.92
! Offset from the most stable computed form (meV per atom): 978
&SYSTEM
  ibrav = 0, nat = 12, ntyp = 3
/
ATOMIC_SPECIES
P 30.97 P.upf
Os 190.23 Os.upf
Br 79.90 Br.upf
CELL_PARAMETERS angstrom
2.912 0.000 0.000
-1.456 2.522 0.000
0.000 0.000 37.344
ATOMIC_POSITIONS crystal
P 0.000 0.000 0.000
P 0.333 0.667 0.667
P 0.667 0.333 0.333
Os 0.000 0.000 0.500
Os 0.333 0.667 0.167
Os 0.667 0.333 0.833
Br 0.000 0.000 0.436
Br 0.000 0.000 0.564
Br 0.333 0.667 0.103
Br 0.333 0.667 0.230
Br 0.667 0.333 0.770
Br 0.667 0.333 0.897

Entry 2:
! CePaFe | Alexandria via LeMat-Bulk | GGA-PBE | relaxed; values from VASP
! M_tot (μB per formula unit): 1.41
! Space-group type: P-6m2
! D(E_F) (states/eV/f.u.): 5.7
! ρ (g/cm3): 12.08
! ΔE_f (eV/atom): 0.191
! Offset from the most stable computed form (meV per atom): 283
&SYSTEM
  ibrav = 0, nat = 3, ntyp = 3
/
ATOMIC_SPECIES
Ce 140.12 Ce.upf
Pa 231.04 Pa.upf
Fe 55.84 Fe.upf
CELL_PARAMETERS angstrom
4.896 0.000 0.000
-2.448 4.240 0.000
0.000 0.000 2.828
ATOMIC_POSITIONS crystal
Ce 0.000 0.000 0.000
Pa 0.667 0.333 0.000
Fe 0.333 0.667 0.500

Entry 3:
! AlCuPt | Alexandria via LeMat-Bulk | GGA-PBE | relaxed; values from VASP
! M_tot (μB per formula unit): 0.00
! Space-group type: F-43m
! D(E_F) (states/eV/f.u.): 0.9
! ρ (g/cm3): 9.37
! ΔE_f (eV/atom): -0.448
! Offset from the most stable computed form (meV per atom): 209
&SYSTEM
  ibrav = 0, nat = 12, ntyp = 3
/
ATOMIC_SPECIES
Al 26.98 Al.upf
Cu 63.55 Cu.upf
Pt 195.08 Pt.upf
CELL_PARAMETERS angstrom
5.871 0.000 0.000
0.000 5.871 0.000
0.000 0.000 5.871
ATOMIC_POSITIONS crystal
Al 0.000 0.000 0.000
Al 0.000 0.500 0.500
Al 0.500 0.000 0.500
Al 0.500 0.500 0.000
Cu 0.000 0.000 0.500
Cu 0.000 0.500 0.000
Cu 0.500 0.000 0.000
Cu 0.500 0.500 0.500
Pt 0.250 0.250 0.750
Pt 0.250 0.750 0.250
Pt 0.750 0.250 0.250
Pt 0.750 0.750 0.750

Entry 4:
! Nb2VOsPb | Alexandria via LeMat-Bulk | GGA-PBE | relaxed; values from VASP
! M_tot (μB per formula unit): 0.00
! Space-group type: P4/mmm
! D(E_F) (states/eV/f.u.): 9.4
! ρ (g/cm3): 8.81
! ΔE_f (eV/atom): 2.581
&SYSTEM
  ibrav = 0, nat = 5, ntyp = 4
/
ATOMIC_SPECIES
Nb 92.91 Nb.upf
V 50.94 V.upf
Os 190.23 Os.upf
Pb 207.20 Pb.upf
CELL_PARAMETERS angstrom
5.038 0.000 0.000
0.000 5.038 0.000
0.000 0.000 4.709
ATOMIC_POSITIONS crystal
Nb 0.000 0.500 0.000
Nb 0.500 0.000 0.000
V 0.000 0.000 0.500
Os 0.500 0.500 0.500
Pb 0.000 0.000 0.000

Entry 5:
! AcGeAu2 | Alexandria via LeMat-Bulk | GGA-PBE | relaxed; values from VASP
! M_tot (μB per formula unit): 0.00
! Space-group type: Cmcm
! D(E_F) (states/eV/f.u.): 2.2
! ρ (g/cm3): 12.24
! ΔE_f (eV/atom): -0.634
&SYSTEM
  ibrav = 0, nat = 16, ntyp = 3
/
ATOMIC_SPECIES
Ac 227.00 Ac.upf
Ge 72.64 Ge.upf
Au 196.97 Au.upf
CELL_PARAMETERS angstrom
4.574 0.000 0.000
0.000 11.166 0.000
0.000 0.000 7.368
ATOMIC_POSITIONS crystal
Ac 0.000 0.075 0.250
Ac 0.000 0.925 0.750
Ac 0.500 0.425 0.750
Ac 0.500 0.575 0.250
Ge 0.000 0.216 0.750
Ge 0.000 0.784 0.250
Ge 0.500 0.284 0.250
Ge 0.500 0.716 0.750
Au 0.000 0.371 0.055
Au 0.000 0.371 0.445
Au 0.000 0.629 0.555
Au 0.000 0.629 0.945
Au 0.500 0.129 0.555
Au 0.500 0.129 0.945
Au 0.500 0.871 0.055
Au 0.500 0.871 0.445

Entry 6:
! AlAg4 | Alexandria via LeMat-Bulk | GGA-PBE | relaxed; values from VASP
! M_tot (μB per formula unit): 0.00
! Space-group type: Pm-3m
! D(E_F) (states/eV/f.u.): 2.4
! ρ (g/cm3): 6.75
! ΔE_f (eV/atom): 0.530
&SYSTEM
  ibrav = 0, nat = 5, ntyp = 2
/
ATOMIC_SPECIES
Al 26.98 Al.upf
Ag 107.87 Ag.upf
CELL_PARAMETERS angstrom
4.832 0.000 0.000
0.000 4.832 0.000
0.000 0.000 4.832
ATOMIC_POSITIONS crystal
Al 0.000 0.000 0.000
Ag 0.000 0.000 0.500
Ag 0.000 0.500 0.000
Ag 0.500 0.000 0.000
Ag 0.500 0.500 0.500

Entry 7:
! Tl3NiRh | Alexandria via LeMat-Bulk | GGA-PBE | relaxed; values from VASP
! M_tot (μB per formula unit): 0.73
! Space-group type: Pm-3m
! D(E_F) (states/eV/f.u.): 10.8
! ρ (g/cm3): 8.91
! ΔE_f (eV/atom): 0.601
! Offset from the most stable computed form (meV per atom): 0
&SYSTEM
  ibrav = 0, nat = 5, ntyp = 3
/
ATOMIC_SPECIES
Tl 204.38 Tl.upf
Ni 58.69 Ni.upf
Rh 102.91 Rh.upf
CELL_PARAMETERS angstrom
5.246 0.000 0.000
0.000 5.246 0.000
0.000 0.000 5.246
ATOMIC_POSITIONS crystal
Tl 0.000 0.000 0.500
Tl 0.000 0.500 0.000
Tl 0.500 0.000 0.000
Ni 0.500 0.500 0.500
Rh 0.000 0.000 0.000

Entry 8:
! Er2NiSn | Alexandria via LeMat-Bulk | GGA-PBE | relaxed; values from VASP
! M_tot (μB per formula unit): 0.00
! Space-group type: R-3m
! D(E_F) (states/eV/f.u.): 3.3
! ρ (g/cm3): 8.64
! ΔE_f (eV/atom): -0.388
! Offset from the most stable computed form (meV per atom): 195
&SYSTEM
  ibrav = 0, nat = 12, ntyp = 3
/
ATOMIC_SPECIES
Er 167.26 Er.upf
Ni 58.69 Ni.upf
Sn 118.71 Sn.upf
CELL_PARAMETERS angstrom
3.687 0.000 0.000
-1.843 3.193 0.000
0.000 0.000 25.086
ATOMIC_POSITIONS crystal
Er 0.000 0.000 0.232
Er 0.000 0.000 0.768
Er 0.333 0.667 0.435
Er 0.333 0.667 0.899
Er 0.667 0.333 0.101
Er 0.667 0.333 0.565
Ni 0.000 0.000 0.500
Ni 0.333 0.667 0.167
Ni 0.667 0.333 0.833
Sn 0.000 0.000 0.000
Sn 0.333 0.667 0.667
Sn 0.667 0.333 0.333

Entry 9:
! In2TcW | Alexandria via LeMat-Bulk | GGA-PBE | relaxed; values from VASP
! M_tot (μB per formula unit): 0.77
! Space-group type: I-42d
! D(E_F) (states/eV/f.u.): 4.1
! ρ (g/cm3): 10.68
! ΔE_f (eV/atom): 1.103
! Offset from the most stable computed form (meV per atom): 935
&SYSTEM
  ibrav = 0, nat = 16, ntyp = 3
/
ATOMIC_SPECIES
In 114.82 In.upf
Tc 98.00 Tc.upf
W 183.84 W.upf
CELL_PARAMETERS angstrom
7.542 0.000 0.000
0.000 7.542 0.000
0.000 0.000 5.591
ATOMIC_POSITIONS crystal
In 0.242 0.250 0.125
In 0.250 0.742 0.375
In 0.250 0.758 0.875
In 0.258 0.250 0.625
In 0.742 0.750 0.625
In 0.750 0.242 0.875
In 0.750 0.258 0.375
In 0.758 0.750 0.125
Tc 0.000 0.000 0.000
Tc 0.000 0.500 0.250
Tc 0.500 0.000 0.750
Tc 0.500 0.500 0.500
W 0.000 0.000 0.500
W 0.000 0.500 0.750
W 0.500 0.000 0.250
W 0.500 0.500 0.000

Entry 10:
! Nd2Ni4GeP3 | Alexandria via LeMat-Bulk | GGA-PBE | relaxed; values from VASP
! M_tot (μB per formula unit): 0.00
! Space-group type: P-4m2
! D(E_F) (states/eV/f.u.): 5.9
! ρ (g/cm3): 7.42
! ΔE_f (eV/atom): -0.914
&SYSTEM
  ibrav = 0, nat = 10, ntyp = 4
/
ATOMIC_SPECIES
Nd 144.24 Nd.upf
Ni 58.69 Ni.upf
Ge 72.64 Ge.upf
P 30.97 P.upf
CELL_PARAMETERS angstrom
4.031 0.000 0.000
0.000 4.031 0.000
0.000 0.000 9.484
ATOMIC_POSITIONS crystal
Nd 0.000 0.500 0.245
Nd 0.500 0.000 0.755
Ni 0.000 0.000 0.000
Ni 0.000 0.500 0.628
Ni 0.500 0.000 0.372
Ni 0.500 0.500 0.000
Ge 0.000 0.000 0.500
P 0.000 0.500 0.872
P 0.500 0.000 0.128
P 0.500 0.500 0.500

Entry 11:
! NaYBrO2 | Alexandria via LeMat-Bulk | GGA-PBE | relaxed; values from VASP
! M_tot (μB per formula unit): 1.00
! Space-group type: P4/mmm
! D(E_F) (states/eV/f.u.): 2.3
! Total energy (eV/atom): -4.676
! ρ (g/cm3): 4.31
&SYSTEM
  ibrav = 0, nat = 5, ntyp = 4
/
ATOMIC_SPECIES
Na 22.99 Na.upf
Y 88.91 Y.upf
Br 79.90 Br.upf
O 16.00 O.upf
CELL_PARAMETERS angstrom
4.260 0.000 0.000
0.000 4.260 0.000
0.000 0.000 4.746
ATOMIC_POSITIONS crystal
Na 0.000 0.000 0.000
Y 0.500 0.500 0.500
Br 0.000 0.000 0.500
O 0.000 0.500 0.000
O 0.500 0.000 0.000

Entry 12:
! MnCd2Rh | Alexandria via LeMat-Bulk | GGA-PBE | relaxed; values from VASP
! M_tot (μB per formula unit): 4.16
! Space-group type: P4mm
! D(E_F) (states/eV/f.u.): 2.1
! ρ (g/cm3): 8.97
! ΔE_f (eV/atom): -0.023
! Offset from the most stable computed form (meV per atom): 0
&SYSTEM
  ibrav = 0, nat = 4, ntyp = 3
/
ATOMIC_SPECIES
Mn 54.94 Mn.upf
Cd 112.41 Cd.upf
Rh 102.91 Rh.upf
CELL_PARAMETERS angstrom
3.133 0.000 0.000
0.000 3.133 0.000
0.000 0.000 7.217
ATOMIC_POSITIONS crystal
Mn 0.000 0.000 0.000
Cd 0.000 0.000 0.438
Cd 0.500 0.500 0.744
Rh 0.500 0.500 0.187

Entry 13:
! NaAcRu2O8 | Alexandria via LeMat-Bulk | GGA-PBE | relaxed; values from VASP
! M_tot (μB per formula unit): 3.98
! Space-group type: I-4
! D(E_F) (states/eV/f.u.): 4.5
! Total energy (eV/atom): -6.790
! ρ (g/cm3): 5.34
&SYSTEM
  ibrav = 0, nat = 12, ntyp = 4
/
ATOMIC_SPECIES
Na 22.99 Na.upf
Ac 227.00 Ac.upf
Ru 101.07 Ru.upf
O 16.00 O.upf
CELL_PARAMETERS angstrom
-2.727 2.727 6.065
2.727 -2.727 6.065
2.727 2.727 -6.065
ATOMIC_POSITIONS crystal
Na 0.000 0.000 0.000
Ac 0.250 0.750 0.500
Ru 0.500 0.500 0.000
Ru 0.750 0.250 0.500
O 0.282 0.656 0.103
O 0.344 0.447 0.626
O 0.426 0.035 0.120
O 0.553 0.179 0.897
O 0.694 0.574 0.609
O 0.821 0.718 0.374
O 0.915 0.306 0.880
O 0.965 0.085 0.391

Entry 14:
! AcCu4Si | Alexandria via LeMat-Bulk | GGA-PBE | relaxed; values from VASP
! M_tot (μB per formula unit): 0.00
! Space-group type: F-43m
! D(E_F) (states/eV/f.u.): 4.3
! Total energy (eV/atom): -4.303
! ρ (g/cm3): 8.29
&SYSTEM
  ibrav = 0, nat = 6, ntyp = 3
/
ATOMIC_SPECIES
Ac 227.00 Ac.upf
Cu 63.55 Cu.upf
Si 28.09 Si.upf
CELL_PARAMETERS angstrom
0.000 3.708 3.708
3.708 0.000 3.708
3.708 3.708 0.000
ATOMIC_POSITIONS crystal
Ac 0.000 0.000 0.000
Cu 0.377 0.377 0.377
Cu 0.377 0.377 0.869
Cu 0.377 0.869 0.377
Cu 0.869 0.377 0.377
Si 0.750 0.750 0.750

Entry 15:
! LiReAu2 | Alexandria via LeMat-Bulk | GGA-PBE | relaxed; values from VASP
! M_tot (μB per formula unit): 0.00
! Space-group type: Immm
! D(E_F) (states/eV/f.u.): 3.7
! ρ (g/cm3): 15.34
! ΔE_f (eV/atom): 0.489
! Offset from the most stable computed form (meV per atom): 436
&SYSTEM
  ibrav = 0, nat = 8, ntyp = 3
/
ATOMIC_SPECIES
Li 6.94 Li.upf
Re 186.21 Re.upf
Au 196.97 Au.upf
CELL_PARAMETERS angstrom
2.758 0.000 0.000
0.000 4.922 0.000
0.000 0.000 9.363
ATOMIC_POSITIONS crystal
Li 0.000 0.000 0.000
Li 0.500 0.500 0.500
Re 0.000 0.000 0.500
Re 0.500 0.500 0.000
Au 0.000 0.500 0.263
Au 0.000 0.500 0.737
Au 0.500 0.000 0.237
Au 0.500 0.000 0.763

Entry 16:
! Sm2MgH | Alexandria via LeMat-Bulk | GGA-PBE | relaxed; values from VASP
! M_tot (μB per formula unit): 0.00
! Space-group type: R-3m
! D(E_F) (states/eV/f.u.): 3.6
! ρ (g/cm3): 5.72
! Offset from the most stable computed form (meV per atom): 0
&SYSTEM
  ibrav = 0, nat = 12, ntyp = 3
/
ATOMIC_SPECIES
Sm 150.36 Sm.upf
Mg 24.30 Mg.upf
H 1.01 H.upf
CELL_PARAMETERS angstrom
3.628 0.000 0.000
-1.814 3.142 0.000
0.000 0.000 24.917
ATOMIC_POSITIONS crystal
Sm 0.000 0.000 0.223
Sm 0.000 0.000 0.777
Sm 0.333 0.667 0.443
Sm 0.333 0.667 0.890
Sm 0.667 0.333 0.110
Sm 0.667 0.333 0.557
Mg 0.000 0.000 0.000
Mg 0.333 0.667 0.667
Mg 0.667 0.333 0.333
H 0.000 0.000 0.500
H 0.333 0.667 0.167
H 0.667 0.333 0.833

Entry 17:
! Mg2AlBr2 | Alexandria via LeMat-Bulk | GGA-PBE | relaxed; values from VASP
! M_tot (μB per formula unit): 0.00
! Space-group type: I4/mmm
! D(E_F) (states/eV/f.u.): 1.8
! Total energy (eV/atom): -2.348
! ρ (g/cm3): 2.87
&SYSTEM
  ibrav = 0, nat = 10, ntyp = 3
/
ATOMIC_SPECIES
Mg 24.30 Mg.upf
Al 26.98 Al.upf
Br 79.90 Br.upf
CELL_PARAMETERS angstrom
4.774 0.000 0.000
0.000 4.774 0.000
0.000 0.000 11.965
ATOMIC_POSITIONS crystal
Mg 0.000 0.000 0.119
Mg 0.000 0.000 0.881
Mg 0.500 0.500 0.381
Mg 0.500 0.500 0.619
Al 0.000 0.000 0.500
Al 0.500 0.500 0.000
Br 0.000 0.500 0.250
Br 0.000 0.500 0.750
Br 0.500 0.000 0.250
Br 0.500 0.000 0.750

Entry 18:
! PdSCl | Alexandria via LeMat-Bulk | GGA-PBE | relaxed; values from VASP
! M_tot (μB per formula unit): 0.00
! Space-group type: P2_1/c
! Total energy (eV/atom): -4.119
! ρ (g/cm3): 3.64
&SYSTEM
  ibrav = 0, nat = 48, ntyp = 3
/
ATOMIC_SPECIES
Pd 106.42 Pd.upf
S 32.06 S.upf
Cl 35.45 Cl.upf
CELL_PARAMETERS angstrom
9.218 0.000 0.000
0.000 9.622 0.000
-8.753 0.000 14.316
ATOMIC_POSITIONS crystal
Pd 0.040 0.206 0.017
Pd 0.040 0.294 0.517
Pd 0.073 0.094 0.678
Pd 0.073 0.406 0.178
Pd 0.275 0.077 0.479
Pd 0.275 0.423 0.979
Pd 0.309 0.622 0.140
Pd 0.309 0.878 0.640
Pd 0.691 0.122 0.360
Pd 0.691 0.378 0.860
Pd 0.725 0.577 0.021
Pd 0.725 0.923 0.521
Pd 0.927 0.594 0.822
Pd 0.927 0.906 0.322
Pd 0.960 0.706 0.483
Pd 0.960 0.794 0.983
S 0.117 0.736 0.413
S 0.117 0.764 0.913
S 0.260 0.234 0.664
S 0.260 0.266 0.164
S 0.339 0.655 0.014
S 0.339 0.845 0.514
S 0.412 0.095 0.639
S 0.412 0.405 0.139
S 0.588 0.595 0.861
S 0.588 0.905 0.361
S 0.661 0.155 0.486
S 0.661 0.345 0.986
S 0.740 0.734 0.836
S 0.740 0.766 0.336
S 0.883 0.236 0.087
S 0.883 0.264 0.587
Cl 0.142 0.035 0.315
Cl 0.142 0.465 0.815
Cl 0.207 0.647 0.629
Cl 0.207 0.853 0.129
Cl 0.226 0.178 0.959
Cl 0.226 0.322 0.459
Cl 0.293 0.567 0.274
Cl 0.293 0.933 0.774
Cl 0.707 0.067 0.226
Cl 0.707 0.433 0.726
Cl 0.774 0.678 0.541
Cl 0.774 0.822 0.041
Cl 0.793 0.147 0.871
Cl 0.793 0.353 0.371
Cl 0.858 0.535 0.185
Cl 0.858 0.965 0.685

Entry 19:
! TbDyMnRu | Alexandria via LeMat-Bulk | GGA-PBE | relaxed; values from VASP
! M_tot (μB per formula unit): 3.56
! Space-group type: F-43m
! D(E_F) (states/eV/f.u.): 2.7
! ρ (g/cm3): 9.45
! ΔE_f (eV/atom): -0.064
&SYSTEM
  ibrav = 0, nat = 16, ntyp = 4
/
ATOMIC_SPECIES
Tb 158.93 Tb.upf
Dy 162.50 Dy.upf
Mn 54.94 Mn.upf
Ru 101.07 Ru.upf
CELL_PARAMETERS angstrom
6.950 0.000 0.000
0.000 6.950 0.000
0.000 0.000 6.950
ATOMIC_POSITIONS crystal
Tb 0.000 0.000 0.000
Tb 0.000 0.500 0.500
Tb 0.500 0.000 0.500
Tb 0.500 0.500 0.000
Dy 0.000 0.000 0.500
Dy 0.000 0.500 0.000
Dy 0.500 0.000 0.000
Dy 0.500 0.500 0.500
Mn 0.250 0.250 0.750
Mn 0.250 0.750 0.250
Mn 0.750 0.250 0.250
Mn 0.750 0.750 0.750
Ru 0.250 0.250 0.250
Ru 0.250 0.750 0.750
Ru 0.750 0.250 0.750
Ru 0.750 0.750 0.250

Entry 20:
! LaAlTe | Alexandria via LeMat-Bulk | GGA-PBE | relaxed; values from VASP
! M_tot (μB per formula unit): 0.00
! Space-group type: P3m1
! D(E_F) (states/eV/f.u.): 3.5
! Total energy (eV/atom): -4.320
! ρ (g/cm3): 5.46
&SYSTEM
  ibrav = 0, nat = 3, ntyp = 3
/
ATOMIC_SPECIES
La 138.91 La.upf
Al 26.98 Al.upf
Te 127.60 Te.upf
CELL_PARAMETERS angstrom
3.924 0.000 0.000
-1.962 3.398 0.000
0.000 0.000 6.699
ATOMIC_POSITIONS crystal
La 0.000 0.000 0.000
Al 0.667 0.333 0.624
Te 0.333 0.667 0.364